Li2Ca3Cu7 PBE optimized geometry; ρ = 4.7 Mg/m³; E_form = -1.08 eV per formula unit
1.0
2.660 1.536 8.374
-2.660 1.536 8.374
0.000 -3.072 8.374
Li Ca Cu
2 3 7
Cartesian
0.000 0.000 4.224
0.000 0.000 20.899
0.000 0.000 9.057
0.000 0.000 12.562
0.000 0.000 16.066
0.000 0.000 0.000
0.000 -1.543 6.291
-1.336 0.772 6.291
-1.336 -0.772 18.832
1.336 0.772 6.291
1.336 -0.772 18.832
0.000 1.543 18.832

=====

LiCa2Cu9 PBE optimized geometry; ρ = 5.8 Mg/m³; E_form = -0.61 eV per formula unit
1.0
2.548 1.471 8.366
-2.548 1.471 8.366
0.000 -2.942 8.366
Li Ca Cu
1 2 9
Cartesian
0.000 0.000 0.000
0.000 0.000 3.433
0.000 0.000 21.664
-1.275 -0.736 10.380
0.000 0.000 8.350
0.000 -1.472 14.717
-1.275 0.736 14.717
0.000 0.000 12.548
1.275 -0.736 10.380
0.000 1.472 10.380
0.000 0.000 16.747
1.275 0.736 14.717

=====

LiCa2Cu PBE optimized geometry; ρ = 2.3 Mg/m³; E_form = -0.13 eV per formula unit
1.0
4.291 0.000 0.000
0.000 4.337 0.000
-2.129 0.000 5.764
Li Ca Cu
1 2 1
Cartesian
0.000 0.000 0.000
0.013 0.000 3.456
2.149 2.168 1.022
2.161 2.168 4.324

=====

LiCaCu2 PBE optimized geometry; distance to the lowest polymorph of the same formula = 0.013 kcal/mol of atoms; ρ = 3.8 Mg/m³; E_form = -0.26 eV per formula unit
1.0
4.307 0.000 0.000
0.000 6.435 0.000
0.000 0.000 5.509
Li Ca Cu
2 2 4
Cartesian
1.077 1.609 0.994
3.231 4.826 4.515
1.077 4.826 1.981
3.231 1.609 3.528
1.077 3.536 4.839
1.077 6.116 4.839
3.231 0.319 0.670
3.231 2.898 0.670

=====

LiCa2Cu PBE optimized geometry; ρ = 2.0 Mg/m³; E_form = 0.27 eV per formula unit
1.0
2.029 1.171 8.635
-2.029 1.171 8.635
0.000 -2.343 8.635
Li Ca Cu
1 2 1
Cartesian
0.000 0.000 0.000
0.000 0.000 6.029
0.000 0.000 11.284
0.000 0.000 21.618

=====

Li4CaCu2 PBE optimized geometry; ρ = 2.4 Mg/m³; E_form = -0.24 eV per formula unit
1.0
2.046 -7.912 0.000
2.046 7.912 0.000
0.000 0.000 4.127
Li Ca Cu
4 1 2
Cartesian
2.046 5.118 0.000
2.046 2.868 2.064
2.046 -2.868 2.064
2.046 -5.118 0.000
2.046 0.000 0.000
2.046 6.710 2.064
2.046 -6.710 2.064

=====

LiCa2Cu PBE optimized geometry; ρ = 2.4 Mg/m³; E_form = 0.09 eV per formula unit
1.0
3.625 0.000 0.000
0.000 3.625 0.000
0.000 0.000 7.974
Li Ca Cu
1 2 1
Cartesian
0.000 0.000 0.000
0.000 0.000 5.086
1.812 1.812 2.092
1.812 1.812 6.901

=====

LiCaCu2 PBE optimized geometry; distance to the lowest polymorph of the same formula = 2.437 kcal/mol of atoms; ρ = 4.1 Mg/m³; E_form = 0.16 eV per formula unit
1.0
0.000 3.273 3.273
3.273 0.000 3.273
3.273 3.273 0.000
Li Ca Cu
1 1 2
Cartesian
0.000 0.000 0.000
1.636 1.636 1.636
3.273 3.273 3.273
4.909 4.909 4.909

=====

LiCa4Cu3 PBE optimized geometry; ρ = 2.9 Mg/m³; E_form = -0.74 eV per formula unit
1.0
4.207 0.000 0.000
0.000 4.275 0.000
0.000 0.000 11.250
Li Ca Cu
1 4 3
Cartesian
0.000 0.000 0.000
0.000 0.000 3.529
0.000 2.137 6.576
2.104 0.000 8.891
2.104 2.137 1.042
0.000 2.137 9.820
2.104 0.000 5.705
2.104 2.137 4.359

=====

LiCa3Cu PBE optimized geometry; distance to the lowest polymorph of the same formula = 1.838 kcal/mol of atoms; ρ = 1.8 Mg/m³; E_form = 0.21 eV per formula unit
1.0
5.621 0.000 0.000
0.000 5.621 0.000
0.000 0.000 5.621
Li Ca Cu
1 3 1
Cartesian
0.000 0.000 0.000
0.000 2.811 2.811
2.811 0.000 2.811
2.811 2.811 0.000
2.811 2.811 2.811

=====

Li2CaCu9 PBE optimized geometry; ρ = 6.1 Mg/m³; E_form = -1.04 eV per formula unit
1.0
8.356 0.000 0.000
0.000 8.356 0.000
0.000 0.000 4.916
Li Ca Cu
4 2 18
Cartesian
0.968 3.210 0.000
3.210 7.387 0.000
5.146 0.968 0.000
7.387 5.146 0.000
0.000 0.000 0.000
4.178 4.178 0.000
0.000 4.178 2.458
0.522 1.748 2.458
1.500 5.678 1.199
1.500 5.678 3.717
1.748 7.834 2.458
2.430 3.656 2.458
2.678 1.500 1.199
2.678 1.500 3.717
3.656 5.926 2.458
4.178 0.000 2.458
4.700 2.430 2.458
5.678 6.856 1.199
5.678 6.856 3.717
5.926 4.700 2.458
6.608 0.522 2.458
6.856 2.678 1.199
6.856 2.678 3.717
7.834 6.608 2.458

=====

Li4Ca2Cu PBE optimized geometry; ρ = 1.6 Mg/m³; E_form = 0.94 eV per formula unit
1.0
-2.371 2.371 8.066
2.371 -2.371 8.066
2.371 2.371 -8.066
Li Ca Cu
4 2 1
Cartesian
2.371 0.000 0.000
0.000 0.000 2.472
0.000 2.371 0.000
0.000 0.000 13.660
0.000 0.000 5.754
0.000 0.000 10.378
0.000 0.000 0.000

=====

Which of these has the highest ρ?
Li2CaCu9

=====

The highest E_form belongs to which entry?
Li4Ca2Cu

=====

Among the records above, which one has the lowest ρ?
Li4Ca2Cu